Compound: CaLa2SiC
Source: the Alexandria database
Functional: GGA-PBE
Structure: optimized geometry

## Properties
Uncorrected formation energy ... -0.247 eV per atom
E ... -5.55 eV per atom
Calculated volume ... 25.87 Å³/atom
Space-group type ... P4/mmm

a = 5.120 Å, b = 5.120 Å, c = 4.934 Å
α = 90.00°, β = 90.00°, γ = 90.00°
Sites, in units of the cell vectors:
Ca  0.000  0.000  0.000
La  0.000  0.500  0.500
La  0.500  0.000  0.500
Si  0.500  0.500  0.000
C  0.000  0.000  0.500


Compound: Ca2LaSnC
Source: the Alexandria database
Functional: GGA-PBE
Structure: optimized geometry

## Properties
E ... -4.78 eV per atom
Formation energy ... -0.350 eV/atom
Calculated volume ... 25.96 Å³/atom
Space-group type ... P4/mmm

a = 5.126 Å, b = 5.126 Å, c = 4.941 Å
α = 90.00°, β = 90.00°, γ = 90.00°
Sites, in units of the cell vectors:
Ca  0.000  0.500  0.000
Ca  0.500  0.000  0.000
La  0.000  0.000  0.500
Sn  0.500  0.500  0.500
C  0.000  0.000  0.000


Compound: CaLa2SnC
Source: the Alexandria database
Functional: GGA-PBE
Structure: optimized geometry

## Properties
E ... -5.48 eV per atom
Formation energy ... -0.461 eV/atom
Calculated volume ... 27.39 Å³/atom
Space-group type ... P4/mmm

a = 5.198 Å, b = 5.198 Å, c = 5.069 Å
α = 90.00°, β = 90.00°, γ = 90.00°
Sites, in units of the cell vectors:
Ca  0.000  0.000  0.000
La  0.000  0.500  0.500
La  0.500  0.000  0.500
Sn  0.500  0.500  0.000
C  0.000  0.000  0.500


Compound: CaLa2TcC
Source: the Alexandria database
Functional: GGA-PBE
Structure: optimized geometry

## Properties
E ... -6.23 eV per atom
Formation energy ... 0.059 eV/atom
Calculated volume ... 24.24 Å³/atom
Space-group type ... P4/mmm

a = 5.441 Å, b = 5.441 Å, c = 4.094 Å
α = 90.00°, β = 90.00°, γ = 90.00°
Sites, in units of the cell vectors:
Ca  0.000  0.000  0.000
La  0.000  0.500  0.500
La  0.500  0.000  0.500
Tc  0.500  0.500  0.000
C  0.500  0.500  0.500


Compound: Ca2LaTeC
Source: the Alexandria database
Functional: GGA-PBE
Structure: optimized geometry

## Properties
Uncorrected formation energy ... -0.536 eV per atom
E ... -4.80 eV per atom
Calculated volume ... 26.23 Å³/atom
Space-group type ... P4/mmm

a = 5.007 Å, b = 5.007 Å, c = 5.232 Å
α = 90.00°, β = 90.00°, γ = 90.00°
Sites, in units of the cell vectors:
Ca  0.000  0.500  0.000
Ca  0.500  0.000  0.000
La  0.000  0.000  0.500
Te  0.500  0.500  0.500
C  0.000  0.000  0.000


Compound: CaLa2TlC
Source: the Alexandria database
Functional: GGA-PBE
Structure: optimized geometry

## Properties
E ... -4.91 eV per atom
Formation energy ... -0.222 eV/atom
Calculated volume ... 27.72 Å³/atom
Space-group type ... P4/mmm

a = 5.202 Å, b = 5.202 Å, c = 5.121 Å
α = 90.00°, β = 90.00°, γ = 90.00°
Sites, in units of the cell vectors:
Ca  0.000  0.000  0.000
La  0.000  0.500  0.500
La  0.500  0.000  0.500
Tl  0.500  0.500  0.000
C  0.000  0.000  0.500


Compound: Ca2LaTlC
Source: the Alexandria database
Functional: GGA-PBE
Structure: optimized geometry

## Properties
Relative energy among the computed polymorphs ... 1.2777 eV/atom
E ... -2.97 eV per atom
Formation energy ... 1.139 eV/atom
Calculated volume ... 34.05 Å³/atom
Space-group type ... P4/mmm

a = 6.204 Å, b = 6.204 Å, c = 4.422 Å
α = 90.00°, β = 90.00°, γ = 90.00°
Sites, in units of the cell vectors:
Ca  0.000  0.500  0.000
Ca  0.500  0.000  0.000
La  0.000  0.000  0.500
Tl  0.500  0.500  0.000
C  0.500  0.500  0.500


Compound: Ca2LaTlC
Source: the Alexandria database
Functional: GGA-PBE
Structure: optimized geometry

## Properties
Relative energy among the computed polymorphs ... 0.0000 eV/atom
E ... -4.24 eV per atom
Formation energy ... -0.139 eV/atom
Calculated volume ... 26.91 Å³/atom
Space-group type ... P4/mmm

a = 5.275 Å, b = 5.275 Å, c = 4.836 Å
α = 90.00°, β = 90.00°, γ = 90.00°
Sites, in units of the cell vectors:
Ca  0.000  0.500  0.000
Ca  0.500  0.000  0.000
La  0.000  0.000  0.500
Tl  0.500  0.500  0.500
C  0.000  0.000  0.000